Below is V2Ge2O7 after structural relaxation, with properties calculated at the PBE with a Hubbard U level.

Structure (extended XYZ):
```
22
Lattice="-2.193 -2.210 -4.665 1.562 -5.309 0.911 -9.827 -0.164 1.981" Properties=species:S:1:pos:R:3 pbc="T T T"
O -3.649 -3.599 -0.263
O -3.983 -0.803 0.461
O -1.368 -4.483 -2.069
O -10.532 -3.224 -2.606
O -2.033 -1.587 -1.557
O -6.476 -6.880 -2.234
O -3.535 -6.290 -1.344
Ge -2.833 -2.087 -0.035
V 0.180 -4.944 -1.005
V -6.516 -2.350 -2.241
V -3.942 -5.333 0.468
O -6.809 -4.084 -1.510
O -6.642 -3.404 1.629
O -3.816 -4.280 -3.401
Ge -7.749 -2.200 0.941
O -6.923 -1.393 -0.428
Ge -7.626 -5.596 -1.738
Ge -2.709 -5.484 -2.713
O -9.091 -3.200 0.296
V -10.639 -2.740 -0.767
O -8.426 -6.096 -0.216
O 0.073 -4.459 0.833
```

Computed properties:
Raw total energy ... -0.263 hartree per atom
Density of states at the Fermi level ... 0.0000 states/eV/atom